1.
Compound: Na4Sm3InSe8
Source: Alexandria via LeMat-Bulk
Functional: GGA-PBE
Structure: optimized geometry

Computed properties:
**Fermi-level density of states**: 0.0 states/eV/cell
**Calculated density**: 5.01 g cm⁻³
**Raw total energy**: -4.58 eV/atom
**Energy relative to the elements, uncorrected**: -1.449 eV/atom

```
Na4Sm3InSe8
1.0
4.184 2.415 7.049
-4.184 2.415 7.049
0.000 -4.831 7.049
Na Sm In Se
4 3 1 8
Direct
0.000 0.000 0.000 Na
0.000 0.500 0.500 Na
0.500 0.000 0.500 Na
0.500 0.500 0.000 Na
0.000 0.000 0.500 Sm
0.000 0.500 0.000 Sm
0.500 0.000 0.000 Sm
0.500 0.500 0.500 In
0.245 0.245 0.245 Se
0.254 0.739 0.739 Se
0.261 0.261 0.746 Se
0.261 0.746 0.261 Se
0.739 0.254 0.739 Se
0.739 0.739 0.254 Se
0.746 0.261 0.261 Se
0.755 0.755 0.755 Se
```

=====

2.
Compound: BaCoNi2As8
Source: Alexandria via LeMat-Bulk
Functional: GGA-PBE
Structure: optimized geometry

Computed properties:
**Fermi-level density of states**: 7.6 states/eV/cell
**DFT formation energy**: -1.60 eV/f.u.
**Calculated density**: 6.34 g cm⁻³
**Raw total energy**: -4.95 eV/atom

```
BaCoNi2As8
1.0
3.103 1.791 7.177
-3.103 1.791 7.177
0.000 -3.583 7.177
Ba Co Ni As
1 1 2 8
Direct
0.000 0.000 0.000 Ba
0.500 0.500 0.500 Co
0.274 0.274 0.274 Ni
0.726 0.726 0.726 Ni
0.087 0.807 0.461 As
0.193 0.539 0.913 As
0.383 0.383 0.383 As
0.461 0.087 0.807 As
0.539 0.913 0.193 As
0.617 0.617 0.617 As
0.807 0.461 0.087 As
0.913 0.193 0.539 As
```

=====

3.
Compound: Zr2IrPt
Source: Alexandria via LeMat-Bulk
Functional: GGA-PBE
Structure: optimized geometry

Computed properties:
**Fermi-level density of states**: 2.2 states/eV/cell
**DFT formation energy**: -2.57 eV/f.u.
**Calculated density**: 11.53 g cm⁻³
**Raw total energy**: -8.64 eV/atom

```
Zr2IrPt
1.0
3.788 0.000 0.000
0.000 3.958 0.000
-0.074 0.000 5.472
Zr Ir Pt
2 1 1
Direct
0.000 0.000 0.000 Zr
0.500 0.500 0.500 Zr
0.000 0.000 0.500 Ir
0.500 0.500 0.000 Pt
```